Entry from Alexandria: a geometry-optimized Sc6Ni2Au structure (PBE).

a = 7.738 Å, b = 7.738 Å, c = 7.738 Å
α = 106.68°, β = 110.55°, γ = 111.22°
Element x y z (fractional)
Sc: 0.531 0.716 0.815
Sc: 0.469 0.284 0.185
Sc: 0.100 0.284 0.815
Sc: 0.900 0.716 0.185
Sc: 0.800 0.760 0.561
Sc: 0.200 0.240 0.439
Sc: 0.200 0.760 0.960
Sc: 0.800 0.240 0.040
Sc: 0.704 0.376 0.673
Sc: 0.296 0.624 0.327
Sc: 0.296 0.969 0.673
Sc: 0.704 0.031 0.327
Ni: 0.500 0.372 0.872
Ni: 0.500 0.628 0.128
Ni: 0.648 0.000 0.648
Ni: 0.352 0.000 0.352
Au: 0.000 0.500 0.500
Au: 0.000 0.000 0.000

Energy of formation from the pure elements in eV/atom: -0.45